A plane-wave DFT calculation with PBE was carried out for Rb2TlTeO after structural relaxation.

final energy = -16.3 eV per formula unit
formation energy from raw total energies = -380 kJ/mol of formula units
density = 5.3 g cm⁻³
crystal system = tetragonal

Unit cell a=5.904 b=5.904 c=4.699 alpha=90.00 beta=90.00 gamma=90.00
Fractional coordinates of all 5 atoms:
Rb1 0.000 0.500 0.000
Rb2 0.500 0.000 0.000
Tl1 0.000 0.000 0.500
Te1 0.500 0.500 0.500
O1 0.000 0.000 0.000